Entry 1:
This record from Alexandria describes an optimized crystal structure of Lu2ScSi. The functional is PBE.

Structure (CIF):
```
data_Lu2ScSi
_chemical_formula_sum 'Lu2 Sc1 Si1'
_space_group_name_H-M_alt 'P 1'
_space_group_IT_number 1
_cell_length_a 10.564
_cell_length_b 10.564
_cell_length_c 10.564
_cell_angle_alpha 18.42
_cell_angle_beta 18.42
_cell_angle_gamma 18.42
loop_
_space_group_symop_operation_xyz
'x,y,z'
loop_
_atom_site_label
_atom_site_fract_x
_atom_site_fract_y
_atom_site_fract_z
Lu1 0.102 0.102 0.102
Lu2 0.898 0.898 0.898
Sc1 0.000 0.000 0.000
Si1 0.500 0.500 0.500
```

Calculated values
SG ... No. 166
Energy relative to the elements, uncorrected ... 0.069 eV/atom
Theoretical density ... 6.8 g/cm3
Magnetic moment ... 0.192 μB per atom
Distance to the lowest polymorph of the same formula ... 338 meV/atom
Final energy ... -5.130 eV per atom


Entry 2:
This record from Alexandria describes an optimized crystal structure of YScMn2. The functional is PBE.

Structure (CIF):
```
data_YScMn2
_chemical_formula_sum 'Y1 Sc1 Mn2'
_space_group_name_H-M_alt 'P 1'
_space_group_IT_number 1
_cell_length_a 5.401
_cell_length_b 5.401
_cell_length_c 5.401
_cell_angle_alpha 134.06
_cell_angle_beta 134.06
_cell_angle_gamma 67.00
loop_
_space_group_symop_operation_xyz
'x,y,z'
loop_
_atom_site_label
_atom_site_fract_x
_atom_site_fract_y
_atom_site_fract_z
Y1 0.000 0.000 0.000
Sc1 0.750 0.250 0.500
Mn1 0.250 0.750 0.500
Mn2 0.500 0.500 0.000
```

Calculated values
SG ... No. 119
Theoretical density ... 5.1 g/cm3
Magnetic moment ... 1.446 μB per atom
Final energy ... -7.519 eV per atom


Entry 3:
This record from Alexandria describes an optimized crystal structure of ZrBe2Te. The functional is PBE.

Structure (CIF):
```
data_ZrBe2Te
_chemical_formula_sum 'Zr1 Be2 Te1'
_space_group_name_H-M_alt 'P 1'
_space_group_IT_number 1
_cell_length_a 5.148
_cell_length_b 5.148
_cell_length_c 5.148
_cell_angle_alpha 135.00
_cell_angle_beta 135.00
_cell_angle_gamma 65.54
loop_
_space_group_symop_operation_xyz
'x,y,z'
loop_
_atom_site_label
_atom_site_fract_x
_atom_site_fract_y
_atom_site_fract_z
Zr1 0.000 0.000 0.000
Be1 0.250 0.750 0.500
Be2 0.750 0.250 0.500
Te1 0.500 0.500 0.000
```

Calculated values
SG ... No. 139
Energy relative to the elements, uncorrected ... 0.286 eV/atom
Theoretical density ... 5.9 g/cm3
Magnetic moment ... 0.000 μB per atom
Final energy ... -4.500 eV per atom


Entry 4:
This record from Alexandria describes an optimized crystal structure of Tb2Er4ThSc. The functional is PBE.

Structure (CIF):
```
data_Tb2Er4ThSc
_chemical_formula_sum 'Tb2 Er4 Th1 Sc1'
_space_group_name_H-M_alt 'P 1'
_space_group_IT_number 1
_cell_length_a 5.773
_cell_length_b 5.773
_cell_length_c 7.344
_cell_angle_alpha 90.00
_cell_angle_beta 90.00
_cell_angle_gamma 90.00
loop_
_space_group_symop_operation_xyz
'x,y,z'
loop_
_atom_site_label
_atom_site_fract_x
_atom_site_fract_y
_atom_site_fract_z
Tb1 0.000 0.000 0.000
Tb2 0.500 0.500 0.500
Er1 0.000 0.500 0.243
Er2 0.000 0.500 0.757
Er3 0.500 0.000 0.243
Er4 0.500 0.000 0.757
Th1 0.000 0.000 0.500
Sc1 0.500 0.500 0.000
```

Calculated values
SG ... No. 123
Theoretical density ... 8.6 g/cm3
Magnetic moment ... 0.000 μB per atom
Final energy ... -5.017 eV per atom


Entry 5:
This record from Alexandria describes an optimized crystal structure of CrReNi. The functional is PBE.

Structure (CIF):
```
data_CrReNi
_chemical_formula_sum 'Cr1 Re1 Ni1'
_space_group_name_H-M_alt 'P 1'
_space_group_IT_number 1
_cell_length_a 3.957
_cell_length_b 3.957
_cell_length_c 3.957
_cell_angle_alpha 60.00
_cell_angle_beta 60.00
_cell_angle_gamma 60.00
loop_
_space_group_symop_operation_xyz
'x,y,z'
loop_
_atom_site_label
_atom_site_fract_x
_atom_site_fract_y
_atom_site_fract_z
Cr1 0.000 0.000 0.000
Re1 0.250 0.250 0.250
Ni1 0.750 0.750 0.750
```

Calculated values
SG ... No. 216
Theoretical density ... 11.3 g/cm3
Magnetic moment ... 0.003 μB per atom
Distance to the lowest polymorph of the same formula ... 605 meV/atom
Final energy ... -8.618 eV per atom


Entry 6:
This record from Alexandria describes an optimized crystal structure of Cs4VCl6. The functional is PBE.

Structure (CIF):
```
data_Cs4VCl6
_chemical_formula_sum 'Cs8 V2 Cl12'
_space_group_name_H-M_alt 'P 1'
_space_group_IT_number 1
_cell_length_a 9.364
_cell_length_b 9.364
_cell_length_c 9.858
_cell_angle_alpha 90.00
_cell_angle_beta 90.00
_cell_angle_gamma 90.00
loop_
_space_group_symop_operation_xyz
'x,y,z'
loop_
_atom_site_label
_atom_site_fract_x
_atom_site_fract_y
_atom_site_fract_z
Cs1 0.175 0.325 0.250
Cs2 0.175 0.325 0.750
Cs3 0.325 0.825 0.250
Cs4 0.325 0.825 0.750
Cs5 0.675 0.175 0.250
Cs6 0.675 0.175 0.750
Cs7 0.825 0.675 0.250
Cs8 0.825 0.675 0.750
V1 0.000 0.000 0.000
V2 0.500 0.500 0.500
Cl1 0.000 0.000 0.255
Cl2 0.000 0.000 0.745
Cl3 0.080 0.737 0.000
Cl4 0.237 0.580 0.500
Cl5 0.263 0.080 0.000
Cl6 0.420 0.237 0.500
Cl7 0.500 0.500 0.245
Cl8 0.500 0.500 0.755
Cl9 0.580 0.763 0.500
Cl10 0.737 0.920 0.000
Cl11 0.763 0.420 0.500
Cl12 0.920 0.263 0.000
```

Calculated values
SG ... No. 128
Energy relative to the elements, uncorrected ... -1.732 eV/atom
Theoretical density ... 3.1 g/cm3
Magnetic moment ... 0.273 μB per atom
Final energy ... -3.879 eV per atom


Entry 7:
This record from Alexandria describes an optimized crystal structure of AcPm3Sm4. The functional is PBE.

Structure (CIF):
```
data_AcPm3Sm4
_chemical_formula_sum 'Ac1 Pm3 Sm4'
_space_group_name_H-M_alt 'P 1'
_space_group_IT_number 1
_cell_length_a 9.147
_cell_length_b 9.147
_cell_length_c 9.147
_cell_angle_alpha 157.61
_cell_angle_beta 98.52
_cell_angle_gamma 85.83
loop_
_space_group_symop_operation_xyz
'x,y,z'
loop_
_atom_site_label
_atom_site_fract_x
_atom_site_fract_y
_atom_site_fract_z
Ac1 0.000 0.000 0.000
Pm1 0.242 0.742 0.500
Pm2 0.500 0.500 0.000
Pm3 0.758 0.258 0.500
Sm1 0.119 0.865 0.254
Sm2 0.389 0.135 0.254
Sm3 0.611 0.865 0.746
Sm4 0.881 0.135 0.746
```

Calculated values
SG ... No. 71
Theoretical density ... 7.4 g/cm3
Magnetic moment ... 0.000 μB per atom
Distance to the lowest polymorph of the same formula ... 97 meV/atom
Final energy ... -4.515 eV per atom


Entry 8:
This record from Alexandria describes an optimized crystal structure of ScRuBr2. The functional is PBE.

Structure (CIF):
```
data_ScRuBr2
_chemical_formula_sum 'Sc1 Ru1 Br2'
_space_group_name_H-M_alt 'P 1'
_space_group_IT_number 1
_cell_length_a 8.429
_cell_length_b 8.429
_cell_length_c 8.429
_cell_angle_alpha 25.54
_cell_angle_beta 25.54
_cell_angle_gamma 25.54
loop_
_space_group_symop_operation_xyz
'x,y,z'
loop_
_atom_site_label
_atom_site_fract_x
_atom_site_fract_y
_atom_site_fract_z
Sc1 0.000 0.000 0.000
Ru1 0.500 0.500 0.500
Br1 0.110 0.110 0.110
Br2 0.890 0.890 0.890
```

Calculated values
SG ... No. 166
Energy relative to the elements, uncorrected ... 0.216 eV/atom
Theoretical density ... 5.2 g/cm3
Magnetic moment ... 0.000 μB per atom
Distance to the lowest polymorph of the same formula ... 783 meV/atom
Final energy ... -4.523 eV per atom


Question: Which of these has the highest final energy?
Answer: Cs4VCl6


Question: Among the records above, which one has the highest final energy?
Answer: Cs4VCl6


Question: Look up the theoretical density of the seventh one.
Answer: 7.4 g/cm3